## MgBiSCl2 (GGA-PBE)

Data for an optimized crystal structure of MgBiSCl2.

a = 4.721 Å, b = 4.721 Å, c = 5.207 Å
α = 90.00°, β = 90.00°, γ = 90.00°
Sites, in units of the cell vectors:
Cl 0.500 0.000 0.000
Bi 0.500 0.500 0.500
Mg 0.000 0.000 0.000
S 0.000 0.000 0.500
Cl 0.000 0.500 0.000

## Properties
* space-group type: No. 123
* uncorrected energy: -3.400 eV/atom
* total moment: 0.00 μB/f.u.
* uncorrected formation energy: -3.705 eV/f.u.
* relative energy among the computed polymorphs: 0.000 eV per atom